Compound: Cs2PrW3O12
Source: Alexandria via LeMat-Bulk
Functional: PBE+U
Structure: relaxed

Computed properties:
The crystal system is trigonal. The magnetic moment comes out at 0.91 μB/cell. The calculation puts the total energy at -7.022 eV/atom.

abc: 7.8160 7.8160 7.8160
angles: 57.82 57.82 57.82
Closest atoms and distances in Å follow each position.
Positions (direct):
Cs 0.6236 0.6236 0.6236  6 O 3.25-3.57
Cs 0.3764 0.3764 0.3764  6 O 3.25-3.57
Pr 0.0000 0.0000 0.0000  6 O 2.38
W 0.5000 0.0000 0.0000  6 O 1.90-1.96
W 0.0000 0.5000 0.0000  6 O 1.90-1.96
W 0.0000 0.0000 0.5000  6 O 1.90-1.96
O 0.2965 0.2965 0.9303  2 W 1.96
O 0.9194 0.9194 0.3695  1 W 1.90
O 0.3695 0.9194 0.9194  1 W 1.90
O 0.9303 0.2965 0.2965  2 W 1.96
O 0.9194 0.3695 0.9194  1 W 1.90
O 0.2965 0.9303 0.2965  2 W 1.96
O 0.7035 0.7035 0.0697  2 W 1.96
O 0.0806 0.0806 0.6305  1 W 1.90
O 0.6305 0.0806 0.0806  1 W 1.90
O 0.0697 0.7035 0.7035  2 W 1.96
O 0.0806 0.6305 0.0806  1 W 1.90
O 0.7035 0.0697 0.7035  2 W 1.96